Entry 1:
# PuGaIrRu

PuGaIrRu after structural relaxation (PBE, the Alexandria database).

```
4
Lattice="-0.448 4.436 -1.040 -2.937 1.301 -3.263 -3.830 2.241 1.128" Properties=species:S:1:pos:R:3 pbc="T T T"
Ru -1.804 1.995 -0.794
Ir -5.411 5.984 -2.381
Ga -3.607 3.989 -1.587
Pu 0.000 0.000 0.000
```

Computed properties:
calculated formation energy = -0.360 eV per atom
volume = 67.9 Å³ per cell


Entry 2:
# TcRuRh2

TcRuRh2 after structural relaxation (PBE, the Alexandria database).

```
4
Lattice="4.738 -0.001 -0.004 1.672 4.433 0.004 -3.202 -2.220 2.694" Properties=species:S:1:pos:R:3 pbc="T T T"
Rh 0.000 0.000 0.000
Rh 3.205 2.216 0.000
Ru 2.370 -0.002 1.345
Tc 0.837 2.215 1.349
```

Computed properties:
calculated formation energy = -0.008 eV per atom
volume = 56.6 Å³ per cell


Entry 3:
# LiHg2Mo

LiHg2Mo after structural relaxation (PBE, the Alexandria database).

```
4
Lattice="2.846 0.000 0.000 0.000 2.846 0.000 0.000 0.000 9.257" Properties=species:S:1:pos:R:3 pbc="T T T"
Hg 0.000 0.000 9.062
Hg 1.423 1.423 2.584
Li 0.000 0.000 4.661
Mo 1.423 1.423 6.835
```

Computed properties:
calculated formation energy = 0.356 eV per atom
volume = 75.0 Å³ per cell